1.
# Hf4SiGe2

An optimized crystal structure of Hf4SiGe2 (PBE, Alexandria).

Properties
Formation energy without anion corrections ... 0.108 eV per atom

Unit cell a=4.696 b=4.696 c=14.286 alpha=90.00 beta=90.00 gamma=90.00
Space group I4/mmm (No. 139)
Asymmetric unit:
Hf (0.000, 0.000, 0.174)
Hf (0.000, 0.500, 0.000)
Si (0.000, 0.000, 0.000)
Ge (0.000, 0.000, 0.365)

2.
# Cr2CuOs

An optimized crystal structure of Cr2CuOs (PBE, Alexandria).

Properties
ΔH_f (0 K) ... 0.257 eV per atom

Unit cell a=2.929 b=2.929 c=5.942 alpha=90.00 beta=90.00 gamma=90.00
Space group P4mm (No. 99)
Asymmetric unit:
Cr (0.000, 0.000, 0.000)
Cr (0.500, 0.500, 0.231)
Cu (0.000, 0.000, 0.472)
Os (0.500, 0.500, 0.748)

3.
# SrGa2PdPt2

An optimized crystal structure of SrGa2PdPt2 (PBE, Alexandria).

Properties
ΔH_f (0 K) ... -0.803 eV per atom

Unit cell a=4.3761 b=4.3761 c=7.1126 alpha=90.00 beta=90.00 gamma=120.00
Space group P-3m1 (No. 164)
Asymmetric unit:
Sr (0.0000, 0.0000, 0.0000)
Ga (0.3333, 0.6667, 0.3276)
Pd (0.0000, 0.0000, 0.5000)
Pt (0.3333, 0.6667, 0.6972)

4.
# LaPr2Si

An optimized crystal structure of LaPr2Si (PBE, Alexandria).

Properties
Formation energy without anion corrections ... -0.360 eV per atom

Unit cell a=8.032 b=9.511 c=6.505 alpha=90.00 beta=90.00 gamma=90.00
Space group Pnma (No. 62)
Asymmetric unit:
La (0.030, 0.250, 0.128)
Pr (0.187, 0.053, 0.625)
Si (0.118, 0.750, 0.421)

5.
# CsRb3I4

An optimized crystal structure of CsRb3I4 (PBE, Alexandria).

Properties
Formation energy without anion corrections ... -1.506 eV per atom

Unit cell a=7.566 b=7.566 c=7.566 alpha=90.00 beta=90.00 gamma=90.00
Space group Pm-3m (No. 221)
Asymmetric unit:
Cs (0.000, 0.000, 0.000)
Rb (0.000, 0.500, 0.500)
I (0.000, 0.000, 0.500)
I (0.500, 0.500, 0.500)

6.
# YHoAlIn

An optimized crystal structure of YHoAlIn (PBE, Alexandria).

Properties
ΔH_f (0 K) ... -0.422 eV per atom

Unit cell a=7.366 b=7.366 c=7.366 alpha=90.00 beta=90.00 gamma=90.00
Space group F-43m (No. 216)
Asymmetric unit:
Y (0.000, 0.000, 0.000)
Ho (0.000, 0.000, 0.500)
Al (0.250, 0.250, 0.750)
In (0.250, 0.250, 0.250)

7.
# Pm2Y5Fe2

An optimized crystal structure of Pm2Y5Fe2 (PBE, Alexandria).

Properties
ΔH_f (0 K) ... 0.054 eV per atom

Unit cell a=20.251 b=7.071 c=7.052 alpha=90.00 beta=90.00 gamma=90.00
Space group Cmce (No. 64)
Asymmetric unit:
Pm (0.232, 0.000, 0.000)
Y (0.000, 0.000, 0.000)
Y (0.107, 0.181, 0.321)
Fe (0.000, 0.108, 0.605)

8.
# AgPb2

An optimized crystal structure of AgPb2 (PBE, Alexandria).

Properties
ΔH_f (0 K) ... 0.103 eV per atom

Unit cell a=7.031 b=7.031 c=7.031 alpha=90.00 beta=90.00 gamma=90.00
Space group Fm-3m (No. 225)
Asymmetric unit:
Ag (0.000, 0.000, 0.000)
Pb (0.250, 0.250, 0.250)

9.
# Ag5HgS4

An optimized crystal structure of Ag5HgS4 (PBE, Alexandria).

Properties
Formation energy without anion corrections ... -0.014 eV per atom

Unit cell a=8.230 b=8.712 c=6.290 alpha=90.00 beta=90.00 gamma=90.00
Space group Pmmn (No. 59, origin choice 2)
Asymmetric unit:
Ag (0.074, 0.072, 0.196)
Ag (0.250, 0.250, 0.837)
Hg (0.250, 0.750, 0.467)
S (0.036, 0.250, 0.501)
S (0.250, 0.534, 0.914)

10.
# Gd2InAu

An optimized crystal structure of Gd2InAu (PBE, Alexandria).

Properties
ΔH_f (0 K) ... -0.621 eV per atom

Unit cell a=7.439 b=7.439 c=7.439 alpha=90.00 beta=90.00 gamma=90.00
Space group Fm-3m (No. 225)
Asymmetric unit:
Gd (0.250, 0.250, 0.250)
In (0.000, 0.000, 0.000)
Au (0.000, 0.000, 0.500)

11.
# ScTcAu2

An optimized crystal structure of ScTcAu2 (PBE, Alexandria).

Properties
ΔH_f (0 K) ... -0.165 eV per atom

Unit cell a=3.442 b=3.442 c=5.975 alpha=90.00 beta=90.00 gamma=90.00
Space group P4mm (No. 99)
Asymmetric unit:
Sc (0.000, 0.000, 0.000)
Tc (0.500, 0.500, 0.262)
Au (0.000, 0.000, 0.480)
Au (0.500, 0.500, 0.751)

12.
# Cs3In5Au3

An optimized crystal structure of Cs3In5Au3 (PBE, Alexandria).

Properties
ΔH_f (0 K) ... -0.162 eV per atom

Unit cell a=8.6244 b=8.6244 c=7.0806 alpha=90.00 beta=90.00 gamma=120.00
Space group P-62m (No. 189)
Asymmetric unit:
Cs (0.0000, 0.6655, 0.0000)
In (0.0000, 0.2750, 0.5000)
In (0.3333, 0.6667, 0.5000)
Au (0.0000, 0.6383, 0.5000)

13.
# K2TaTl3S6

An optimized crystal structure of K2TaTl3S6 (PBE, Alexandria).

Properties
Formation energy without anion corrections ... -0.705 eV per atom

Unit cell a=7.547 b=13.469 c=6.974 alpha=90.00 beta=110.39 gamma=90.00
Space group C2/m (No. 12)
Asymmetric unit:
K (0.000, 0.173, 0.000)
Ta (0.000, 0.500, 0.000)
Tl (0.000, 0.000, 0.500)
Tl (0.000, 0.358, 0.500)
S (0.202, 0.370, 0.219)
S (0.209, 0.500, 0.790)

14.
# LaAlV2

An optimized crystal structure of LaAlV2 (PBE, Alexandria).

Properties
ΔH_f (0 K) ... 0.763 eV per atom

Unit cell a=7.710 b=7.710 c=5.953 alpha=90.00 beta=90.00 gamma=90.00
Space group I-42d (No. 122)
Asymmetric unit:
La (0.000, 0.000, 0.000)
Al (0.000, 0.000, 0.500)
V (0.204, 0.250, 0.625)

15.
# Ba3AcTh2P6

An optimized crystal structure of Ba3AcTh2P6 (PBE, Alexandria).

Properties
ΔH_f (0 K) ... -1.235 eV per atom

Unit cell a=7.623 b=13.209 c=7.830 alpha=90.00 beta=108.95 gamma=90.00
Space group C2/m (No. 12)
Asymmetric unit:
Ba (0.000, 0.000, 0.000)
Ba (0.000, 0.335, 0.000)
Ac (0.000, 0.500, 0.500)
Th (0.000, 0.167, 0.500)
P (0.222, 0.000, 0.714)
P (0.246, 0.325, 0.714)

16.
# Mn7Be

An optimized crystal structure of Mn7Be (PBE, Alexandria).

Properties
ΔH_f (0 K) ... 0.101 eV per atom

Unit cell a=7.004 b=7.004 c=7.004 alpha=90.00 beta=90.00 gamma=90.00
Space group Fm-3m (No. 225)
Asymmetric unit:
Mn (0.000, 0.000, 0.000)
Mn (0.000, 0.250, 0.250)
Be (0.000, 0.000, 0.500)

| no. | DOS at the Fermi energy (states/eV per cell) |
| --- | --- |
| 1 | 12.192 |
| 2 | 3.541 |
| 3 | 2.030 |
| 4 | 20.228 |
| 5 | 0.000 |
| 6 | 6.610 |
| 7 | 51.309 |
| 8 | 6.098 |
| 9 | 8.665 |
| 10 | 15.689 |
| 11 | 1.759 |
| 12 | 6.678 |
| 13 | 13.602 |
| 14 | 25.386 |
| 15 | 29.662 |
| 16 | 41.989 |